Below is Sm11Y5O24 after structural relaxation, with properties calculated at the PBE level.

Summary:
total moment	0.00	μB/cell
raw formation energy	-3472	meV/atom
DFT total energy	-8.553	eV/atom

a = 9.438 Å, b = 9.439 Å, c = 9.452 Å
α = 109.48°, β = 109.48°, γ = 109.39°
Fractional positions:
1 Sm 0.000 0.000 0.000
2 Sm 0.003 0.500 0.500
3 Sm 0.033 0.812 0.282
4 Sm 0.252 0.282 0.530
5 Sm 0.257 0.784 0.036
6 Sm 0.284 0.031 0.812
7 Sm 0.533 0.313 0.281
8 Sm 0.719 0.531 0.751
9 Sm 0.745 0.782 0.529
10 Sm 0.752 0.279 0.031
11 Sm 0.971 0.252 0.781
12 Y 0.222 0.533 0.251
13 Y 0.470 0.749 0.782
14 Y 0.502 0.062 0.563
15 Y 0.502 0.565 0.063
16 Y 0.782 0.030 0.312
17 O 0.006 0.051 0.261
18 O 0.019 0.020 0.757
19 O 0.021 0.290 0.569
20 O 0.215 0.751 0.764
21 O 0.226 0.513 0.993
22 O 0.244 0.042 0.561
23 O 0.269 0.527 0.502
24 O 0.280 0.052 0.072
25 O 0.298 0.811 0.307
26 O 0.477 0.540 0.298
27 O 0.481 0.266 0.490
28 O 0.489 0.512 0.804
29 O 0.512 0.315 0.019
30 O 0.523 0.006 0.787
31 O 0.527 0.824 0.062
32 O 0.706 0.012 0.514
33 O 0.718 0.793 0.773
34 O 0.738 0.235 0.259
35 O 0.759 0.318 0.800
36 O 0.777 0.769 0.289
37 O 0.793 0.555 0.544
38 O 0.982 0.550 0.271
39 O 0.983 0.739 0.003
40 O 0.999 0.257 0.047

=====

Below is SmY2O after structural relaxation, with properties calculated at the PBE level.

Summary:
total moment	0.00	μB/cell
raw formation energy	-1352	meV/atom
ΔE to the lowest computed polymorph	0	meV per atom
DFT total energy	-7.003	eV/atom

a = 9.059 Å, b = 9.059 Å, c = 9.059 Å
α = 22.47°, β = 22.47°, γ = 22.47°
Fractional positions:
1 Sm 0.000 0.000 0.000
2 Y 0.219 0.219 0.219
3 Y 0.781 0.781 0.781
4 O 0.500 0.500 0.500

=====

Below is SmY3O6 after structural relaxation, with properties calculated at the PBE level.

Summary:
total moment	0.00	μB/cell
raw formation energy	-3520	meV/atom
ΔE to the lowest computed polymorph	0	meV per atom
DFT total energy	-8.906	eV/atom

a = 9.323 Å, b = 9.336 Å, c = 9.336 Å
α = 109.47°, β = 109.45°, γ = 109.46°
Fractional positions:
1 Sm 0.000 0.000 0.000
2 Sm 0.000 0.497 0.498
3 Sm 0.252 0.717 0.969
4 Sm 0.500 0.998 0.502
5 Y 0.030 0.748 0.281
6 Y 0.219 0.969 0.750
7 Y 0.251 0.217 0.469
8 Y 0.282 0.529 0.250
9 Y 0.469 0.251 0.219
10 Y 0.501 0.497 0.000
11 Y 0.533 0.746 0.781
12 Y 0.718 0.466 0.751
13 Y 0.748 0.279 0.031
14 Y 0.750 0.779 0.530
15 Y 0.782 0.028 0.250
16 Y 0.969 0.247 0.718
17 O 0.010 0.039 0.767
18 O 0.028 0.484 0.254
19 O 0.042 0.266 0.511
20 O 0.230 0.451 0.969
21 O 0.232 0.273 0.245
22 O 0.245 0.974 0.013
23 O 0.256 0.766 0.230
24 O 0.268 0.011 0.542
25 O 0.276 0.744 0.729
26 O 0.457 0.466 0.730
27 O 0.469 0.229 0.957
28 O 0.489 0.753 0.530
29 O 0.513 0.242 0.471
30 O 0.535 0.766 0.042
31 O 0.544 0.530 0.270
32 O 0.725 0.253 0.268
33 O 0.731 0.986 0.457
34 O 0.744 0.230 0.775
35 O 0.755 0.027 0.987
36 O 0.770 0.541 0.031
37 O 0.770 0.724 0.757
38 O 0.958 0.729 0.488
39 O 0.967 0.507 0.740
40 O 0.989 0.956 0.231

=====

Below is SmY2O4 after structural relaxation, with properties calculated at the PBE level.

Summary:
total moment	0.00	μB/cell
raw formation energy	-3170	meV/atom
DFT total energy	-8.524	eV/atom

a = 6.452 Å, b = 6.452 Å, c = 5.894 Å
α = 116.13°, β = 116.13°, γ = 30.90°
Fractional positions:
1 Sm 0.000 0.000 0.000
2 Y 0.290 0.290 0.291
3 Y 0.710 0.710 0.709
4 O 0.138 0.138 0.436
5 O 0.350 0.350 0.982
6 O 0.650 0.650 0.018
7 O 0.862 0.862 0.564

=====

Among the records above, which one has the highest DFT total energy?
SmY2O

=====

raw formation energy of number 2 (SmY2O)?
-1352 meV/atom